ErCu4Ni2 | PBE-GGA | relaxed

```
ErCu4Ni2
1.0
3.945 -3.140 0.000
3.945 3.140 0.000
-2.945 0.000 3.836
Er Cu Ni
1 4 2
direct
0.000 0.000 0.000
0.000 0.389 0.695
0.000 0.611 0.305
0.389 0.000 0.695
0.611 0.000 0.305
0.500 0.500 0.250
0.500 0.500 0.750
```

Calculated values
E_form = -183 meV/atom
Space-group type = C2/m (12)
Total magnetization = 0.0000 μB per atom
Polymorph energy (0 for the lowest one) = 0 meV/atom
Fermi-level density of states = 2.86 states/eV per cell